Computed, not measured: Cd2RePb after structural relaxation at the PBE-GGA level of DFT.

The calculation puts the density of states at the Fermi level at 0.63 states/eV/atom. For the size of the total moment, the calculation gives 0.00 μB/atom. The calculation puts the formation energy at 0.782 eV per atom. The mass density comes out at 12.3 g/cm³.

a b c (Å): 3.0888 4.8406 5.5995
angles (deg): 90.00 90.00 90.00
With the nearest neighbours (Å) after each atom.
Fractional positions:
Pb (0.5000, 0.0000, 0.5000)  4 Re 2.87, 2 Pb 3.09, 4 Cd 3.20
Re (0.0000, 0.5000, 0.5000)  4 Pb 2.87, 2 Re 3.09, 4 Cd 3.20
Cd (0.0000, 0.0000, 0.0000)  6 Cd 2.87-3.09, 4 Pb 3.20
Cd (0.5000, 0.5000, 0.0000)  6 Cd 2.87-3.09, 4 Re 3.20